VASP calculation (GGA+U) on an optimized crystal structure of MnAlInF6.

Computed properties:
ρ = 3.45 g/cm³
E = -5.649 eV per atom
SG = No. 149

extended XYZ file:
```
9
Lattice="5.4264 0.0000 0.0000 -2.7132 4.6994 0.0000 0.0000 0.0000 5.8721" Properties=species:S:1:pos:R:3 pbc="T T T"
Mn 0.0000 0.0000 0.0000
Al 0.0000 3.1329 0.0000
In 2.7132 1.5665 2.9361
F -0.6542 1.7650 1.0466
F -1.5117 3.2503 4.8256
F 0.6542 1.7650 4.8256
F -0.8575 4.3834 1.0466
F 1.5117 3.2503 1.0466
F 0.8575 4.3834 4.8256
```